# Ba2HfPbS6, relaxed, DFT PBE
data_Ba2HfPbS6
_chemical_formula_sum 'Ba2 Hf1 Pb1 S6'
_symmetry_space_group_name_H-M 'P 1'
_symmetry_Int_Tables_number 1
_symmetry_space_group_name_Hall 'P 1'
_cell_length_a 7.1834
_cell_length_b 7.1834
_cell_length_c 7.4027
_cell_angle_alpha 120.42
_cell_angle_beta 120.42
_cell_angle_gamma 59.41
loop_
_atom_site_label
_atom_site_type_symbol
_atom_site_fract_x
_atom_site_fract_y
_atom_site_fract_z
Ba1 Ba 0.2483 0.2483 0.2382
Ba2 Ba 0.7517 0.7517 0.7618
Hf1 Hf 0.5000 0.5000 0.0000
Pb1 Pb 0.0000 0.0000 0.5000
S1 S 0.6926 0.2056 0.1890
S2 S 0.2056 0.6926 0.1890
S3 S 0.7403 0.7403 0.3277
S4 S 0.2597 0.2597 0.6723
S5 S 0.7944 0.3074 0.8110
S6 S 0.3074 0.7944 0.8110
# Crystal system: monoclinic
# Total energy in eV/atom: -5.52
# SG: C2/m
# Magnetization in μB/cell: 0.00